# 1
This record from Alexandria describes crystalline Be3Fe4 at its relaxed geometry. The functional is GGA-PBE.

Cell lengths 3.8466, 3.8466, 16.1534 Å; angles 90.00, 90.00, 120.00 degrees
Space group R-3m (No. 166, hexagonal axes)
Unique sites:
Be: 0.0000 0.0000 0.0000
Be: 0.0000 0.0000 0.2803
Fe: 0.0000 0.0000 0.1391
Fe: 0.0000 0.0000 0.4214

Summary:
ΔE_f = -0.07 eV per atom
energy relative to the lowest polymorph listed for this composition = 16.6 meV per atom
DOS(E_F) = 0.319 states/eV per atom

---

# 2
This record from Alexandria describes crystalline TcSbSe at its relaxed geometry. The functional is GGA-PBE.

Cell lengths 4.4573, 4.4573, 3.3281 Å; angles 90.00, 90.00, 120.00 degrees
Space group P-6m2 (No. 187)
Unique sites:
Tc: 0.0000 0.0000 0.0000
Sb: 0.6667 0.3333 0.5000
Se: 0.3333 0.6667 0.0000

Summary:
formation energy without anion corrections = 280 meV per atom
energy relative to the lowest polymorph listed for this composition = 513.7 meV per atom
DOS(E_F) = 0.885 states/eV per atom